Entry 1:
Here is a geometry-optimized Na2Al3AgAu12 structure from the Alexandria database. Energies are from PBE.

Values from the calculation:
- crystal system = trigonal
- energy of formation (eV per formula unit) = -0.7
- E_tot (eV per atom) = -3.152
- space-group type = No. 166

Lattice parameters (Å, degrees): 7.668 7.668 7.668 69.70 69.70 69.70
Fractional coordinates of all 18 atoms:
Na1 0.089 0.089 0.089
Na2 0.911 0.911 0.911
Al1 0.000 0.500 0.500
Al2 0.500 0.000 0.500
Al3 0.500 0.500 0.000
Ag1 0.500 0.500 0.500
Au1 0.118 0.658 0.658
Au2 0.136 0.136 0.592
Au3 0.136 0.592 0.136
Au4 0.342 0.342 0.882
Au5 0.342 0.882 0.342
Au6 0.408 0.864 0.864
Au7 0.592 0.136 0.136
Au8 0.658 0.118 0.658
Au9 0.658 0.658 0.118
Au10 0.864 0.408 0.864
Au11 0.864 0.864 0.408
Au12 0.882 0.342 0.342

***

Entry 2:
Here is a geometry-optimized Nd2Al4Ag3Au structure from the Alexandria database. Energies are from PBE.

Values from the calculation:
- crystal system = tetragonal
- energy of formation (eV per formula unit) = -4.4
- E_tot (eV per atom) = -4.069
- space-group type = No. 115

Lattice parameters (Å, degrees): 4.411 4.411 10.716 90.00 90.00 90.00
Fractional coordinates of all 10 atoms:
Nd1 0.000 0.500 0.248
Nd2 0.500 0.000 0.752
Al1 0.000 0.000 0.500
Al2 0.000 0.500 0.869
Al3 0.500 0.000 0.131
Al4 0.500 0.500 0.500
Ag1 0.000 0.000 0.000
Ag2 0.000 0.500 0.632
Ag3 0.500 0.000 0.368
Au1 0.500 0.500 0.000

***

Entry 3:
Here is a geometry-optimized NdAlAgAu structure from the Alexandria database. Energies are from PBE.

Values from the calculation:
- crystal system = cubic
- energy of formation (eV per formula unit) = -1.9
- E_tot (eV per atom) = -4.134
- space-group type = No. 216

Lattice parameters (Å, degrees): 4.938 4.938 4.938 60.00 60.00 60.00
Fractional coordinates of all 4 atoms:
Nd1 0.000 0.000 0.000
Al1 0.500 0.500 0.500
Ag1 0.250 0.250 0.250
Au1 0.750 0.750 0.750

***

Entry 4:
Here is a geometry-optimized NdAl2AgAu2 structure from the Alexandria database. Energies are from PBE.

Values from the calculation:
- crystal system = trigonal
- energy of formation (eV per formula unit) = -3.4
- E_tot (eV per atom) = -4.173
- space-group type = No. 164

Lattice parameters (Å, degrees): 4.471 4.471 6.997 90.00 90.00 120.00
Fractional coordinates of all 6 atoms:
Nd1 0.000 0.000 0.000
Al1 0.333 0.667 0.674
Al2 0.667 0.333 0.326
Ag1 0.000 0.000 0.500
Au1 0.333 0.667 0.271
Au2 0.667 0.333 0.729